{
  "formula": "HfBeSn2H",
  "functional": "GGA-PBEsol",
  "state": "relaxed",
  "lattice": [[4.602, 0.000, 0.000], [0.000, 4.602, 0.000], [0.000, 0.000, 3.877]],
  "species": ["Hf", "Be", "Sn", "Sn", "H"],
  "frac_coords": [[0.000, 0.000, 0.000], [0.500, 0.500, 0.000], [0.000, 0.500, 0.500], [0.500, 0.000, 0.500], [0.000, 0.000, 0.500]],
  "total_energy_ev_per_atom": -4.995,
  "space_group": "P4/mmm",
  "m_tot_mub_per_fu": 0.00
}